[1]
DFT (PBE) results for a relaxed MgZr2PtO crystal.

Properties
**D(E_F)**: 3.89 states/eV/f.u.
**M_tot**: 0.0 μB/cell
**E_form (uncorrected)**: -1.35 eV/atom

abc: 4.4431 4.4431 4.1437
angles: 90.00 90.00 90.00
Space group P4/mmm (No. 123)
One atom of each set of equivalent atoms:
Mg1 0.0000 0.0000 0.0000 x1
Zr1 0.0000 0.5000 0.5000 x2
Pt1 0.5000 0.5000 0.0000 x1
O1 0.0000 0.0000 0.5000 x1

---

[2]
DFT (PBE) results for a relaxed Li2Nd3Cd4 crystal.

Properties
**D(E_F)**: 6.72 states/eV/f.u.
**M_tot**: 0.0 μB/cell
**ΔH_f (0 K)**: -0.25 eV/atom

abc: 11.0279 5.1002 9.4752
angles: 90.00 122.22 90.00
Space group C2/m (No. 12)
One atom of each set of equivalent atoms:
Li1 0.1140 0.0000 0.2814 x4
Nd1 0.0000 0.5000 0.0000 x2
Nd2 0.1649 0.0000 0.6670 x4
Cd1 0.0611 0.5000 0.3884 x4
Cd2 0.2191 0.0000 0.0596 x4

---

[3]
DFT (PBE) results for a relaxed CuRu3Br crystal.

Properties
**D(E_F)**: 6.07 states/eV/f.u.
**M_tot**: 7.8 μB/cell
**E_form (uncorrected)**: 1.79 eV/atom

abc: 4.6636 4.6636 4.6636
angles: 90.00 90.00 90.00
Space group Pm-3m (No. 221)
One atom of each set of equivalent atoms:
Cu1 0.0000 0.0000 0.0000 x1
Ru1 0.0000 0.0000 0.5000 x3
Br1 0.5000 0.5000 0.5000 x1

---

[4]
DFT (PBE) results for a relaxed Pu3Mo crystal.

Properties
**D(E_F)**: 12.15 states/eV/f.u.
**M_tot**: 9.5 μB/cell
**ΔH_f (0 K)**: 0.33 eV/atom

abc: 2.7965 9.5609 5.9781
angles: 90.00 90.00 90.00
Space group Imm2 (No. 44)
One atom of each set of equivalent atoms:
Pu1 0.0000 0.0000 0.0000 x2
Pu2 0.0000 0.2330 0.1985 x4
Mo1 0.0000 0.5000 0.0096 x2

---

[5]
DFT (PBE) results for a relaxed SrAgI3 crystal.

Properties
**D(E_F)**: 0.00 states/eV/f.u.
**M_tot**: 0.0 μB/cell
**E_form (uncorrected)**: -1.10 eV/atom

abc: 15.0629 14.1351 8.3814
angles: 90.00 101.03 90.00
Space group C2/c (No. 15)
One atom of each set of equivalent atoms:
Sr1 0.0000 0.0899 0.2500 x4
Sr2 0.0000 0.2694 0.7500 x4
Ag1 0.1596 0.4147 0.2933 x8
I1 0.1188 0.0880 0.6288 x8
I2 0.1280 0.2459 0.1137 x8
I3 0.1388 0.4152 0.6190 x8

---

[6]
DFT (PBE) results for a relaxed Tb5TmTl crystal.

Properties
**D(E_F)**: 10.24 states/eV/f.u.
**M_tot**: 0.0 μB/cell
**ΔH_f (0 K)**: 0.19 eV/atom

abc: 4.7036 4.7036 10.3867
angles: 90.00 90.00 90.00
Space group P4/mmm (No. 123)
One atom of each set of equivalent atoms:
Tb1 0.0000 0.0000 0.0000 x1
Tb2 0.0000 0.5000 0.2435 x4
Tm1 0.5000 0.5000 0.5000 x1
Tl1 0.5000 0.5000 0.0000 x1

---

[7]
DFT (PBE) results for a relaxed V3InAs crystal.

Properties
**D(E_F)**: 5.13 states/eV/f.u.
**M_tot**: 4.7 μB/cell
**ΔH_f (0 K)**: 0.49 eV/atom

abc: 4.5854 4.5854 4.5854
angles: 90.00 90.00 90.00
Space group Pm-3m (No. 221)
One atom of each set of equivalent atoms:
V1 0.0000 0.0000 0.5000 x3
In1 0.5000 0.5000 0.5000 x1
As1 0.0000 0.0000 0.0000 x1

---

[8]
DFT (PBE) results for a relaxed Pu2GeB crystal.

Properties
**D(E_F)**: 9.42 states/eV/f.u.
**M_tot**: 10.0 μB/cell
**ΔH_f (0 K)**: -0.09 eV/atom

abc: 3.0983 3.0983 7.6251
angles: 90.00 90.00 90.00
Space group P4/mmm (No. 123)
One atom of each set of equivalent atoms:
Pu1 0.0000 0.0000 0.2058 x2
Ge1 0.5000 0.5000 0.5000 x1
B1 0.5000 0.5000 0.0000 x1

---

[9]
DFT (PBE) results for a relaxed SrIn3Co crystal.

Properties
**D(E_F)**: 12.61 states/eV/f.u.
**M_tot**: 2.0 μB/cell
**ΔH_f (0 K)**: 1.45 eV/atom

abc: 6.1368 6.1368 6.1368
angles: 90.00 90.00 90.00
Space group Pm-3m (No. 221)
One atom of each set of equivalent atoms:
Sr1 0.0000 0.0000 0.0000 x1
In1 0.0000 0.0000 0.5000 x3
Co1 0.5000 0.5000 0.5000 x1

---

[10]
DFT (PBE) results for a relaxed Ba2MgCdPd crystal.

Properties
**D(E_F)**: 2.45 states/eV/f.u.
**M_tot**: 0.0 μB/cell
**ΔH_f (0 K)**: -0.22 eV/atom

abc: 6.1354 6.1354 5.3172
angles: 90.00 90.00 90.00
Space group P4/mmm (No. 123)
One atom of each set of equivalent atoms:
Ba1 0.0000 0.5000 0.0000 x2
Mg1 0.0000 0.0000 0.5000 x1
Cd1 0.5000 0.5000 0.5000 x1
Pd1 0.5000 0.5000 0.0000 x1

---

[11]
DFT (PBE) results for a relaxed CuSiRu2 crystal.

Properties
**D(E_F)**: 3.89 states/eV/f.u.
**M_tot**: 0.0 μB/cell
**E_form (uncorrected)**: -0.01 eV/atom

abc: 2.7765 3.6504 5.1911
angles: 90.00 90.00 90.00
Space group Pmm2 (No. 25)
One atom of each set of equivalent atoms:
Cu1 0.0000 0.0000 0.0000 x1
Si1 0.5000 0.5000 0.7563 x1
Ru1 0.0000 0.0000 0.5050 x1
Ru2 0.5000 0.5000 0.2392 x1

---

[12]
DFT (PBE) results for a relaxed K2LiPb crystal.

Properties
**D(E_F)**: 2.63 states/eV/f.u.
**M_tot**: 0.0 μB/cell
**ΔH_f (0 K)**: 0.06 eV/atom

abc: 3.9287 5.6854 6.8037
angles: 90.00 93.42 90.00
Space group P2/m (No. 10)
One atom of each set of equivalent atoms:
K1 0.0226 0.0000 0.2404 x2
Li1 0.5000 0.5000 0.5000 x1
Pb1 0.5000 0.5000 0.0000 x1

---

[13]
DFT (PBE) results for a relaxed Al2Tl3InO6 crystal.

Properties
**D(E_F)**: 0.00 states/eV/f.u.
**M_tot**: 0.0 μB/cell
**E_form (uncorrected)**: -1.52 eV/atom

abc: 5.9413 5.9413 7.1993
angles: 90.00 90.00 120.00
Space group P-3m1 (No. 164)
One atom of each set of equivalent atoms:
Al1 0.3333 0.6667 0.3199 x2
Tl1 0.0000 0.0000 0.0000 x1
Tl2 0.3333 0.6667 0.7738 x2
In1 0.0000 0.0000 0.5000 x1
O1 0.1674 0.3349 0.3117 x6

---

[14]
DFT (PBE) results for a relaxed GaAgBr2 crystal.

Properties
**D(E_F)**: 0.00 states/eV/f.u.
**M_tot**: 0.0 μB/cell
**E_form (uncorrected)**: -0.37 eV/atom

abc: 4.6926 4.6926 24.6619
angles: 90.00 90.00 120.00
Space group R-3m (No. 166, hexagonal axes)
One atom of each set of equivalent atoms:
Ga1 0.0000 0.0000 0.0000 x3
Ag1 0.0000 0.0000 0.5000 x3
Br1 0.0000 0.0000 0.3995 x6

---

[15]
DFT (PBE) results for a relaxed LiTmZn6Cu crystal.

Properties
**D(E_F)**: 4.79 states/eV/f.u.
**M_tot**: 0.0 μB/cell
**ΔH_f (0 K)**: -0.02 eV/atom

abc: 6.8075 8.6929 10.7320
angles: 90.00 90.00 90.00
Space group Imma (No. 74)
One atom of each set of equivalent atoms:
Li1 0.2500 0.2500 0.2500 x4
Tm1 0.0000 0.2500 0.7006 x4
Zn1 0.0000 0.2500 0.0089 x4
Zn2 0.0000 0.2500 0.4249 x4
Zn3 0.1906 0.0138 0.8745 x16
Cu1 0.0000 0.0000 0.5000 x4

---

[16]
DFT (PBE) results for a relaxed SmNpPt crystal.

Properties
**D(E_F)**: 5.36 states/eV/f.u.
**M_tot**: 2.1 μB/cell
**ΔH_f (0 K)**: -0.45 eV/atom

abc: 3.8701 4.0098 9.0084
angles: 90.00 98.70 90.00
Space group P2_1/m (No. 11)
One atom of each set of equivalent atoms:
Sm1 0.0667 0.2500 0.1946 x2
Np1 0.3882 0.2500 0.5544 x2
Pt1 0.4627 0.2500 0.8875 x2

---

[17]
DFT (PBE) results for a relaxed SrYGe2Au2 crystal.

Properties
**D(E_F)**: 3.85 states/eV/f.u.
**M_tot**: 0.0 μB/cell
**ΔH_f (0 K)**: -0.75 eV/atom

abc: 4.5179 4.5179 7.9691
angles: 90.00 90.00 120.00
Space group P-3m1 (No. 164)
One atom of each set of equivalent atoms:
Sr1 0.0000 0.0000 0.0000 x1
Y1 0.0000 0.0000 0.5000 x1
Ge1 0.3333 0.6667 0.7145 x2
Au1 0.3333 0.6667 0.2793 x2

---

[18]
DFT (PBE) results for a relaxed Li2CaP crystal.

Properties
**D(E_F)**: 0.70 states/eV/f.u.
**M_tot**: 0.0 μB/cell
**ΔH_f (0 K)**: -0.40 eV/atom

abc: 4.2149 4.2149 18.4583
angles: 90.00 90.00 90.00
Space group I-42d (No. 122)
One atom of each set of equivalent atoms:
Li1 0.1382 0.2500 0.1250 x8
Ca1 0.0000 0.0000 0.5000 x4
P1 0.0000 0.0000 0.0000 x4

---

[19]
DFT (PBE) results for a relaxed GaCo2RhPb crystal.

Properties
**D(E_F)**: 11.07 states/eV/f.u.
**M_tot**: 3.4 μB/cell
**ΔH_f (0 K)**: 1.48 eV/atom

abc: 4.7878 4.7878 5.0477
angles: 90.00 90.00 90.00
Space group P4/mmm (No. 123)
One atom of each set of equivalent atoms:
Ga1 0.0000 0.0000 0.0000 x1
Co1 0.0000 0.5000 0.5000 x2
Rh1 0.5000 0.5000 0.0000 x1
Pb1 0.5000 0.5000 0.5000 x1

---

[20]
DFT (PBE) results for a relaxed LiLuPb crystal.

Properties
**M_tot**: 0.0 μB/cell
**ΔH_f (0 K)**: -0.26 eV/atom

abc: 6.9614 6.9614 6.9614
angles: 90.00 90.00 90.00
Space group F-43m (No. 216)
One atom of each set of equivalent atoms:
Li1 0.0000 0.0000 0.0000 x4
Lu1 0.0000 0.0000 0.5000 x4
Pb1 0.2500 0.2500 0.2500 x4